Entry 1:
MgAlAu | the Alexandria database | GGA-PBE | relaxed; E_form = -334 meV/atom; electronic total energy = -3.21 eV/atom; theoretical density = 7.7 g/cm3
1.0
4.928 -0.005 -0.001
2.382 4.314 0.001
-3.654 -2.156 2.507
Mg Au Al
1 1 1
Direct
0.669 0.669 0.000
0.339 0.339 0.000
0.992 0.992 0.000


Entry 2:
Mg3AlAu12 | the Alexandria database | GGA-PBE | relaxed; E_form = -332 meV/atom; electronic total energy = -3.32 eV/atom; theoretical density = 14.4 g/cm3
1.0
4.165 0.000 0.000
0.000 4.165 0.000
0.000 0.000 16.331
Au Mg Al
12 3 1
Direct
0.000 0.500 0.374
0.500 0.000 0.122
0.500 0.500 0.500
0.500 0.500 0.000
0.500 0.500 0.752
0.500 0.000 0.626
0.000 0.500 0.626
0.000 0.500 0.878
0.500 0.000 0.374
0.500 0.000 0.878
0.500 0.500 0.248
0.000 0.500 0.122
0.000 0.000 0.249
0.000 0.000 0.500
0.000 0.000 0.751
0.000 0.000 0.000